## La3Si3Ag2 (GGA-PBE)

Data for La3Si3Ag2 after structural relaxation.

Geometry as POSCAR:
```
La3Si3Ag2
1.0
2.249 -5.537 0.000
2.249 5.537 0.000
0.000 0.000 15.511
La Si Ag
6 6 4
Cartesian
2.249 4.462 11.633
2.249 1.405 9.309
2.249 1.405 13.957
2.249 -1.405 1.554
2.249 -1.405 6.202
2.249 -4.462 3.878
2.249 4.644 8.534
2.249 4.644 14.732
2.249 3.434 3.878
2.249 -3.434 11.633
2.249 -4.644 0.779
2.249 -4.644 6.977
2.249 1.849 1.689
2.249 1.849 6.066
2.249 -1.849 9.445
2.249 -1.849 13.822
```

Values from the calculation:
DOS at the Fermi energy   9.71 states/eV/cell
Volume   24.15 Å³/atom
Formation energy (no corrections)   -435 kJ/mol of formula units



## CsCuNi2N (GGA-PBE)

Data for CsCuNi2N after structural relaxation.

Geometry as POSCAR:
```
CsCuNi2N
1.0
3.795 0.000 0.000
0.000 3.795 0.000
0.000 0.000 6.027
Cs Cu Ni N
1 1 2 1
Cartesian
0.000 0.000 0.000
1.897 1.897 0.000
0.000 1.897 3.014
1.897 0.000 3.014
0.000 0.000 3.014
```

Values from the calculation:
DOS at the Fermi energy   4.25 states/eV/cell
Volume   17.36 Å³/atom
Formation energy (no corrections)   373 kJ/mol of formula units



## KRuO2 (GGA-PBE)

Data for KRuO2 after structural relaxation.

Geometry as POSCAR:
```
KRuO2
1.0
-2.580 2.580 5.283
2.580 -2.580 5.283
2.580 2.580 -5.283
K Ru O
2 2 4
Cartesian
0.000 0.000 0.000
0.000 2.580 2.641
2.580 0.000 2.641
0.000 0.000 5.283
1.290 -0.636 3.962
1.943 1.290 1.321
1.290 3.216 -1.321
0.636 1.290 6.603
```

Values from the calculation:
DOS at the Fermi energy   7.03 states/eV/cell
Volume   17.58 Å³/atom
Formation energy (no corrections)   -325 kJ/mol of formula units



## TaCo4 (GGA-PBE)

Data for TaCo4 after structural relaxation.

Geometry as POSCAR:
```
TaCo4
1.0
-1.715 1.715 5.374
1.715 -1.715 5.374
1.715 1.715 -5.374
Ta Co
1 4
Cartesian
0.000 0.000 0.000
1.715 0.000 2.687
0.000 0.000 4.272
0.000 0.000 6.476
0.000 1.715 2.687
```

Values from the calculation:
DOS at the Fermi energy   6.09 states/eV/cell
Volume   12.65 Å³/atom
E above lowest polymorph   1.039 eV per formula unit
E_form   0.132 eV/atom



Number 1: E -5.158 eV per atom, spin magnetization 0.000 μB per atom. Number 2: E -4.194 eV per atom, spin magnetization 0.144 μB per atom. Number 3: E -5.916 eV per atom, spin magnetization 0.000 μB per atom. Number 4: E -7.923 eV per atom, spin magnetization 0.827 μB per atom.